Entry from Alexandria: KZnOF2 after structural relaxation (PBE-GGA).

Cell: 4.6065 4.6065 4.3070 Å, 90.00 90.00 90.00°
Space group P4/mmm (No. 123)
Symmetry-distinct sites (fractional):
K 0.0000 0.0000 0.0000 (multiplicity 1)
Zn 0.5000 0.5000 0.5000 (multiplicity 1)
O 0.0000 0.0000 0.5000 (multiplicity 1)
F 0.0000 0.5000 0.0000 (multiplicity 2)

Summary:
Uncorrected formation energy: -371 meV per atom
Distance to the lowest polymorph of the same formula: 140.93 kJ/mol of atoms



Entry from Alexandria: KZnOF2 after structural relaxation (PBE-GGA).

Cell: 4.2577 4.2577 3.8611 Å, 90.00 90.00 90.00°
Space group P4/mmm (No. 123)
Symmetry-distinct sites (fractional):
K 0.0000 0.0000 0.0000 (multiplicity 1)
Zn 0.5000 0.5000 0.5000 (multiplicity 1)
O 0.5000 0.5000 0.0000 (multiplicity 1)
F 0.0000 0.5000 0.5000 (multiplicity 2)

Summary:
Uncorrected formation energy: -1832 meV per atom
Distance to the lowest polymorph of the same formula: 0.00 kJ/mol of atoms



Entry from Alexandria: K3Zr2O3F4 after structural relaxation (PBE-GGA).

Cell: 4.1282 22.2475 4.3807 Å, 90.00 90.00 90.00°
Space group Imm2 (No. 44)
Symmetry-distinct sites (fractional):
K 0.0000 0.0000 0.0000 (multiplicity 2)
K 0.0000 0.1880 0.9993 (multiplicity 4)
Zr 0.0000 0.4080 0.9999 (multiplicity 4)
O 0.0000 0.1024 0.4997 (multiplicity 4)
O 0.0000 0.5000 0.9997 (multiplicity 2)
F 0.0000 0.3059 0.0011 (multiplicity 4)
F 0.0000 0.4043 0.4998 (multiplicity 4)

Summary:
Uncorrected formation energy: -2904 meV per atom



Entry from Alexandria: KZrOF2 after structural relaxation (PBE-GGA).

Cell: 4.3445 4.3445 4.7121 Å, 90.00 90.00 90.00°
Space group P4/mmm (No. 123)
Symmetry-distinct sites (fractional):
K 0.0000 0.0000 0.0000 (multiplicity 1)
Zr 0.5000 0.5000 0.5000 (multiplicity 1)
O 0.0000 0.0000 0.5000 (multiplicity 1)
F 0.0000 0.5000 0.0000 (multiplicity 2)

Summary:
Uncorrected formation energy: -860 meV per atom
Distance to the lowest polymorph of the same formula: 187.38 kJ/mol of atoms